Computed, not measured: a geometry-optimized ScV2RuF structure at the GGA+U level of DFT.

## Properties
D(E_F) = 0.493 states/eV/atom
SG = No. 123
Size of the total moment = 7.871 μB per cell
V = 130.9 Å³/f.u.
Crystal system = tetragonal
DFT total energy = -4.962 eV/atom

a b c (Å): 5.458 5.458 4.394
angles (deg): 90.00 90.00 90.00
Positions (direct):
Sc 0.000 0.000 0.000
V 0.000 0.500 0.000
V 0.500 0.000 0.000
Ru 0.000 0.000 0.500
F 0.500 0.500 0.500